No. 1
Computed, not measured: CuNi5Pd after structural relaxation at the PBE-GGA level of DFT.

Cell lengths 4.615, 6.385, 6.715 Å; angles 76.64, 69.90, 68.82 degrees
Last column: magnetic moment on the atom in μB.
Positions (direct):
Ni 0.182 0.566 0.057  0.61
Pd 0.000 0.000 0.000  0.16
Ni 0.949 0.717 0.390  0.66
Ni 0.996 0.750 0.750  0.62
Ni 0.556 0.783 0.110  0.66
Pd 0.500 0.500 0.500  0.16
Ni 0.695 0.066 0.557  0.61
Ni 0.051 0.283 0.610  0.66
Ni 0.004 0.250 0.250  0.62
Cu 0.503 0.750 0.750  0.03
Ni 0.444 0.217 0.890  0.66
Ni 0.818 0.434 0.943  0.61
Ni 0.305 0.934 0.443  0.61
Cu 0.497 0.250 0.250  0.03

Computed properties:
ΔE_f: 1.46 eV per formula unit
DFT total energy: -5.2486 eV/atom


No. 2
Computed, not measured: SmHo2Bi after structural relaxation at the PBE-GGA level of DFT.

Cell lengths 4.036, 4.036, 7.441 Å; angles 90.00, 90.00, 90.00 degrees
Positions (direct):
Ho 0.000 0.000 0.726
Ho 0.000 0.000 0.274
Sm 0.500 0.500 0.000
Bi 0.500 0.500 0.500

Computed properties:
ΔE_f: -1.33 eV per formula unit
DFT total energy: -4.7726 eV/atom
Energy above the most stable polymorph in this dataset: 115 meV/atom